(1)
A relaxed structure of Cs2NaNp3O12, computed with PBE.

Lattice parameters (Å, degrees): 7.751 7.751 7.751 62.68 62.68 62.68
Fractional positions:
O 0.694 0.694 0.077
Na 0.000 0.000 0.000
O 0.920 0.920 0.364
O 0.923 0.306 0.306
O 0.077 0.694 0.694
O 0.694 0.077 0.694
O 0.080 0.636 0.080
Np 0.500 0.000 0.000
O 0.306 0.923 0.306
O 0.920 0.364 0.920
O 0.080 0.080 0.636
Cs 0.382 0.382 0.382
O 0.306 0.306 0.923
Cs 0.618 0.618 0.618
Np 0.000 0.500 0.000
Np 0.000 0.000 0.500
O 0.636 0.080 0.080
O 0.364 0.920 0.920

Results
- raw formation energy (eV/atom) = -2.4672

(2)
A relaxed structure of La3MnFe, computed with PBE.

Lattice parameters (Å, degrees): 5.281 5.281 5.281 90.00 90.00 90.00
Fractional positions:
Fe 0.000 0.000 0.000
Mn 0.500 0.500 0.500
La 0.000 0.000 0.500
La 0.000 0.500 0.000
La 0.500 0.000 0.000

Results
- calculated formation energy (eV/atom) = 0.286
- DOS at the Fermi energy (states/eV per atom) = 1.177

(3)
A relaxed structure of DyTmC, computed with PBE.

Lattice parameters (Å, degrees): 3.368 6.746 6.559 114.85 104.88 90.00
Fractional positions:
Tm 0.495 0.279 0.989
C 0.127 0.509 0.254
Tm 0.505 0.721 0.011
Dy 0.233 0.272 0.467
C 0.873 0.491 0.746
Dy 0.767 0.728 0.533

Results
- calculated formation energy (eV/atom) = -0.082
- DOS at the Fermi energy (states/eV per atom) = 0.554
- offset from the most stable computed form (eV/f.u.) = 0.69

(4)
A relaxed structure of EuErAl, computed with PBE.

Lattice parameters (Å, degrees): 3.667 3.667 6.929 105.34 105.34 90.00
Fractional positions:
Er 0.252 0.252 0.505
Eu 0.970 0.970 0.940
Al 0.627 0.627 0.255

Results
- calculated formation energy (eV/atom) = -0.163
- DOS at the Fermi energy (states/eV per atom) = 0.997
- offset from the most stable computed form (eV/f.u.) = 0.00

(5)
A relaxed structure of Cd4GaHg5, computed with PBE.

Lattice parameters (Å, degrees): 3.941 3.941 15.407 90.00 90.00 90.00
Fractional positions:
Cd 0.000 0.000 0.599
Ga 0.000 0.000 0.000
Hg 0.500 0.500 0.300
Hg 0.500 0.500 0.903
Hg 0.500 0.500 0.700
Hg 0.500 0.500 0.097
Cd 0.000 0.000 0.401
Hg 0.500 0.500 0.500
Cd 0.000 0.000 0.801
Cd 0.000 0.000 0.199

Results
- calculated formation energy (eV/atom) = 0.044
- DOS at the Fermi energy (states/eV per atom) = 0.267
- offset from the most stable computed form (eV/f.u.) = 0.00

(6)
A relaxed structure of K6HfSe4, computed with PBE.

Lattice parameters (Å, degrees): 8.081 10.985 10.985 120.00 90.00 90.00
Fractional positions:
K 0.640 0.933 0.467
K 0.963 0.254 0.127
Se 0.343 0.416 0.208
Se 0.843 0.208 0.416
Se 0.920 0.667 0.333
Se 0.843 0.584 0.792
K 0.963 0.873 0.127
K 0.140 0.467 0.933
Se 0.843 0.208 0.792
Se 0.343 0.792 0.584
K 0.640 0.533 0.067
Se 0.420 0.333 0.667
K 0.463 0.127 0.254
K 0.463 0.746 0.873
K 0.140 0.467 0.533
K 0.140 0.067 0.533
Hf 0.235 0.667 0.333
Se 0.343 0.792 0.208
K 0.463 0.127 0.873
K 0.963 0.873 0.746
K 0.640 0.533 0.467
Hf 0.735 0.333 0.667

Results
- DOS at the Fermi energy (states/eV per atom) = 0.354
- raw formation energy (eV/atom) = -1.0414

(7)
A relaxed structure of ErTa4Se8, computed with PBE.

Lattice parameters (Å, degrees): 7.085 7.085 8.005 90.00 116.27 120.00
Fractional positions:
Ta 0.000 0.000 0.000
Se 0.492 0.746 0.238
Se 0.000 0.758 0.242
Se 0.000 0.758 0.758
Ta 0.000 0.500 0.000
Se 0.508 0.254 0.762
Se 0.000 0.242 0.242
Se 0.484 0.242 0.242
Ta 0.500 0.000 0.000
Er 0.000 0.500 0.500
Se 0.516 0.758 0.758
Ta 0.500 0.500 0.000
Se 0.000 0.242 0.758

Results
- DOS at the Fermi energy (states/eV per atom) = 0.421
- raw formation energy (eV/atom) = -0.8659

(8)
A relaxed structure of Sr8In2Pb, computed with PBE.

Lattice parameters (Å, degrees): 5.888 8.235 10.661 112.63 106.04 89.99
Fractional positions:
Sr 0.977 0.025 0.591
Sr 0.532 0.737 0.700
In 0.478 0.286 0.592
Sr 0.137 0.552 0.910
In 0.794 0.602 0.225
Sr 0.636 0.246 0.909
Sr 0.927 0.438 0.489
Pb 0.137 0.967 0.909
Sr 0.741 0.948 0.120
Sr 0.296 0.343 0.228
Sr 0.346 0.857 0.329

Results
- calculated formation energy (eV/atom) = -0.307
- DOS at the Fermi energy (states/eV per atom) = 0.738
- offset from the most stable computed form (eV/f.u.) = 0.08

(9)
A relaxed structure of Ce2TaP, computed with PBE.

Lattice parameters (Å, degrees): 3.419 3.419 9.626 79.77 79.77 60.00
Fractional positions:
Ce 0.901 0.901 0.297
Ce 0.099 0.099 0.703
P 0.500 0.500 0.500
Ta 0.000 0.000 0.000

Results
- calculated formation energy (eV/atom) = 0.092
- DOS at the Fermi energy (states/eV per atom) = 1.874

(10)
A relaxed structure of Pr2PaIn, computed with PBE.

Lattice parameters (Å, degrees): 3.331 3.331 12.450 82.31 82.31 60.00
Fractional positions:
In 0.500 0.500 0.500
Pa 0.000 0.000 0.000
Pr 0.089 0.089 0.732
Pr 0.911 0.911 0.268

Results
- calculated formation energy (eV/atom) = 0.197
- DOS at the Fermi energy (states/eV per atom) = 1.570
- offset from the most stable computed form (eV/f.u.) = 0.92

(11)
A relaxed structure of NbCdSn2Bi, computed with PBE.

Lattice parameters (Å, degrees): 5.860 5.446 5.860 90.00 90.00 90.00
Fractional positions:
Sn 0.000 0.000 0.500
Bi 0.000 0.000 0.000
Sn 0.500 0.000 0.000
Cd 0.500 0.500 0.500
Nb 0.000 0.500 0.000

Results
- calculated formation energy (eV/atom) = 1.186
- DOS at the Fermi energy (states/eV per atom) = 1.097

(12)
A relaxed structure of Ce3NdAu4, computed with PBE.

Lattice parameters (Å, degrees): 5.243 7.375 10.483 90.00 90.00 90.00
Fractional positions:
Au 0.500 0.750 0.500
Au 0.500 0.750 0.000
Ce 0.000 0.000 0.000
Au 0.994 0.750 0.250
Nd 0.000 0.500 0.000
Ce 0.000 0.000 0.500
Au 0.006 0.250 0.750
Au 0.500 0.250 0.000
Nd 0.000 0.500 0.500
Ce 0.495 0.500 0.250
Ce 0.506 0.000 0.750
Au 0.006 0.750 0.750
Ce 0.505 0.500 0.750
Au 0.500 0.250 0.500
Au 0.994 0.250 0.250
Ce 0.494 0.000 0.250

Results
- calculated formation energy (eV/atom) = -0.631
- DOS at the Fermi energy (states/eV per atom) = 2.871

(13)
A relaxed structure of Co2P2N, computed with PBE.

Lattice parameters (Å, degrees): 2.935 2.681 14.101 90.00 90.00 90.00
Fractional positions:
N 0.000 0.500 0.036
Co 0.000 0.500 0.725
N 0.500 0.000 0.536
P 0.000 0.000 0.106
Co 0.500 0.000 0.399
Co 0.000 0.500 0.899
P 0.500 0.000 0.821
Co 0.500 0.000 0.225
P 0.500 0.500 0.606
P 0.000 0.500 0.321

Results
- DOS at the Fermi energy (states/eV per atom) = 0.549
- raw formation energy (eV/atom) = -0.2323
- offset from the most stable computed form (eV/f.u.) = 0.16

(14)
A relaxed structure of Sr2CrTeN, computed with PBE.

Lattice parameters (Å, degrees): 6.200 4.994 6.200 90.00 90.00 90.00
Fractional positions:
Te 0.000 0.000 0.000
Cr 0.000 0.500 0.000
Sr 0.500 0.000 0.000
Sr 0.000 0.000 0.500
N 0.500 0.500 0.500

Results
- DOS at the Fermi energy (states/eV per atom) = 0.492
- raw formation energy (eV/atom) = 0.8210

(15)
A relaxed structure of InAs2Pb, computed with PBE.

Lattice parameters (Å, degrees): 5.071 5.071 3.857 90.00 90.00 79.45
Fractional positions:
In 0.500 0.000 0.500
As 0.500 0.500 0.000
As 0.000 0.000 0.000
Pb 0.000 0.500 0.500

Results
- calculated formation energy (eV/atom) = 0.185
- DOS at the Fermi energy (states/eV per atom) = 0.536
- offset from the most stable computed form (eV/f.u.) = 0.78

(16)
A relaxed structure of ZnPSe2N, computed with PBE.

Lattice parameters (Å, degrees): 5.094 5.094 3.242 90.00 90.00 90.00
Fractional positions:
Se 0.000 0.500 0.000
N 0.000 0.000 0.500
Zn 0.500 0.500 0.500
P 0.000 0.000 0.000
Se 0.500 0.000 0.000

Results
- DOS at the Fermi energy (states/eV per atom) = 0.274
- raw formation energy (eV/atom) = 0.4618
- offset from the most stable computed form (eV/f.u.) = 0.00

(17)
A relaxed structure of Zr2AsBr2, computed with PBE.

Lattice parameters (Å, degrees): 3.916 3.916 10.335 79.08 79.08 60.00
Fractional positions:
Zr 0.622 0.622 0.134
Zr 0.378 0.378 0.866
Br 0.229 0.229 0.314
As 0.000 0.000 0.000
Br 0.771 0.771 0.686

Results
- DOS at the Fermi energy (states/eV per atom) = 0.360
- raw formation energy (eV/atom) = -1.2012

(18)
A relaxed structure of NaSr2Tl8, computed with PBE.

Lattice parameters (Å, degrees): 5.317 7.655 9.615 113.46 106.05 90.00
Fractional positions:
Tl 0.622 0.834 0.244
Tl 0.000 0.710 0.000
Sr 0.791 0.291 0.582
Tl 0.378 0.590 0.756
Sr 0.209 0.709 0.418
Tl 0.158 0.158 0.316
Tl 0.622 0.410 0.244
Tl 0.000 0.290 0.000
Na 0.500 0.000 0.000
Tl 0.378 0.166 0.756
Tl 0.842 0.842 0.684

Results
- calculated formation energy (eV/atom) = -0.155
- DOS at the Fermi energy (states/eV per atom) = 0.490
- offset from the most stable computed form (eV/f.u.) = 0.07

(19)
A relaxed structure of Pr3ZnH, computed with PBE.

Lattice parameters (Å, degrees): 6.517 9.354 8.990 114.06 90.00 90.00
Fractional positions:
H 0.246 0.391 0.919
Zn 0.146 0.426 0.411
Zn 0.354 0.926 0.411
Zn 0.854 0.574 0.589
Pr 0.086 0.647 0.934
Pr 0.409 0.731 0.633
Pr 0.092 0.063 0.206
Pr 0.586 0.853 0.066
H 0.254 0.891 0.919
H 0.754 0.609 0.081
Zn 0.646 0.074 0.589
Pr 0.591 0.269 0.367
Pr 0.592 0.437 0.794
Pr 0.909 0.769 0.367
Pr 0.908 0.937 0.794
H 0.746 0.109 0.081
Pr 0.914 0.353 0.066
Pr 0.408 0.563 0.206
Pr 0.091 0.231 0.633
Pr 0.414 0.147 0.934

Results
- DOS at the Fermi energy (states/eV per atom) = 0.891
- offset from the most stable computed form (eV/f.u.) = 0.00

(20)
A relaxed structure of CaHf2Sc, computed with PBE.

Lattice parameters (Å, degrees): 5.225 5.225 5.225 60.00 60.00 60.00
Fractional positions:
Hf 0.750 0.750 0.750
Sc 0.500 0.500 0.500
Ca 0.000 0.000 0.000
Hf 0.250 0.250 0.250

Results
- calculated formation energy (eV/atom) = 0.536
- DOS at the Fermi energy (states/eV per atom) = 2.369
- offset from the most stable computed form (eV/f.u.) = 0.00

Number 1: uncorrected energy -8.098 eV/atom. Number 2: uncorrected energy -6.197 eV/atom. Number 3: uncorrected energy -6.181 eV/atom. Number 4: uncorrected energy -6.356 eV/atom. Number 5: uncorrected energy -0.775 eV/atom. Number 6: uncorrected energy -3.812 eV/atom. Number 7: uncorrected energy -7.008 eV/atom. Number 8: uncorrected energy -2.365 eV/atom. Number 9: uncorrected energy -7.191 eV/atom. Number 10: uncorrected energy -5.252 eV/atom. Number 11: uncorrected energy -3.388 eV/atom. Number 12: uncorrected energy -5.091 eV/atom. Number 13: uncorrected energy -6.904 eV/atom. Number 14: uncorrected energy -4.070 eV/atom. Number 15: uncorrected energy -3.751 eV/atom. Number 16: uncorrected energy -3.934 eV/atom. Number 17: uncorrected energy -6.219 eV/atom. Number 18: uncorrected energy -2.302 eV/atom. Number 19: uncorrected energy -3.986 eV/atom. Number 20: uncorrected energy -6.524 eV/atom.